GePIrN2 after structural relaxation. Source: the Alexandria database, functional PBE.

Size of the total moment (μB/f.u.): 0.0
ΔE to the lowest computed polymorph (meV/atom): 460.8
Fermi-level density of states (states/eV/cell): 2.236
Raw formation energy (eV/atom): 0.2597
E_tot (eV/f.u.): -34.24

a b c (Å): 3.388 3.836 5.390
angles (deg): 101.35 103.16 90.03
Space group P1 (No. 1)
One atom of each set of equivalent atoms:
Ge 0.000 0.000 0.000 [1 per cell]
P 0.530 0.668 0.383 [1 per cell]
Ir 0.460 0.477 0.947 [1 per cell]
N 0.235 0.049 0.391 [1 per cell]
N 0.346 0.372 0.541 [1 per cell]